Material: Al2WSe
Method: DFT, PBE
State: relaxed

## Properties
total moment	0.00	μB/f.u.
uncorrected energy	-5.61	eV per atom

abc: 2.9559 4.8868 4.6159
angles: 90.00 90.24 90.00
Space group P2/m (No. 10)
One atom of each set of equivalent atoms:
Al 0.2277 0.0000 0.2552 (multiplicity 2)
W 0.5000 0.5000 0.5000 (multiplicity 1)
Se 0.0000 0.5000 0.0000 (multiplicity 1)